Entry 1:
VASP calculation (PBE) on MnCrAs2 after structural relaxation.

Cell: 4.2087 4.2087 4.2087 Å, 60.00 60.00 60.00°
Sites, in units of the cell vectors:
Cr (0.0000, 0.0000, 0.0000)
As (0.2500, 0.2500, 0.2500)
As (0.7500, 0.7500, 0.7500)
Mn (0.5000, 0.5000, 0.5000)

Properties
ΔE to the lowest computed polymorph = 192 meV per atom
Space-group type = Fm-3m, No. 225
Raw total energy = -6.926 eV/atom
ΔE_f = 0.39 eV per formula unit

Entry 2:
VASP calculation (PBE) on HfFeAs2Se after structural relaxation.

Cell: 5.1449 5.1449 5.0801 Å, 90.00 90.00 90.00°
Sites, in units of the cell vectors:
As (0.0000, 0.5000, 0.0000)
As (0.5000, 0.0000, 0.0000)
Hf (0.0000, 0.0000, 0.0000)
Fe (0.5000, 0.5000, 0.5000)
Se (0.0000, 0.0000, 0.5000)

Properties
ΔE to the lowest computed polymorph = 262 meV per atom
Space-group type = P4/mmm, No. 123
Raw total energy = -5.692 eV/atom
Formation energy from raw total energies = 0.548 eV per atom

Entry 3:
VASP calculation (PBE) on ThGa3Rh after structural relaxation.

Cell: 4.2858 8.4353 10.7947 Å, 90.00 90.00 90.00°
Sites, in units of the cell vectors:
Th (0.7500, 0.8045, 0.0165)
Th (0.2500, 0.6955, 0.5165)
Th (0.7500, 0.3045, 0.4835)
Th (0.2500, 0.1955, 0.9835)
Ga (0.2500, 0.5615, 0.0910)
Ga (0.7500, 0.4385, 0.9090)
Ga (0.2500, 0.0615, 0.4090)
Ga (0.7500, 0.9385, 0.5910)
Ga (0.2500, 0.3871, 0.6945)
Ga (0.7500, 0.1129, 0.1945)
Ga (0.2500, 0.8871, 0.8055)
Ga (0.7500, 0.6416, 0.7171)
Ga (0.2500, 0.3584, 0.2829)
Ga (0.7500, 0.1416, 0.7829)
Ga (0.7500, 0.6129, 0.3055)
Ga (0.2500, 0.8584, 0.2171)
Rh (0.2500, 0.0980, 0.6478)
Rh (0.2500, 0.5980, 0.8522)
Rh (0.7500, 0.4020, 0.1478)
Rh (0.7500, 0.9020, 0.3522)

Properties
ΔE to the lowest computed polymorph = 21 meV per atom
Space-group type = Pnma, No. 62
Raw total energy = -5.439 eV/atom
ΔE_f = -3.35 eV per formula unit

Entry 4:
VASP calculation (PBE) on BaCd2HgCl8 after structural relaxation.

Cell: 6.6740 6.4110 8.2472 Å, 90.00 89.95 88.58°
Sites, in units of the cell vectors:
Ba (0.0000, 0.0000, 0.5000)
Cd (0.5003, 0.5000, 0.7633)
Cd (0.4997, 0.5000, 0.2367)
Hg (0.0000, 0.0000, 0.0000)
Cl (0.1634, 0.7443, 0.2202)
Cl (0.6499, 0.7309, 0.0001)
Cl (0.8364, 0.2547, 0.2198)
Cl (0.8366, 0.2557, 0.7798)
Cl (0.3501, 0.2691, 0.9999)
Cl (0.1636, 0.7453, 0.7802)
Cl (0.6329, 0.7132, 0.5001)
Cl (0.3671, 0.2868, 0.4999)

Properties
Space-group type = P-1, No. 2
Raw total energy = -2.821 eV/atom
Formation energy from raw total energies = -1.252 eV per atom

Entry 5:
VASP calculation (PBE) on SrMn2Cr after structural relaxation.

Cell: 5.1646 5.1646 3.2174 Å, 90.00 90.00 107.17°
Sites, in units of the cell vectors:
Cr (0.0000, 0.5000, 0.5000)
Mn (0.0000, 0.0000, 0.0000)
Mn (0.5000, 0.5000, 0.0000)
Sr (0.5000, 0.0000, 0.5000)

Properties
ΔE to the lowest computed polymorph = 645 meV per atom
Space-group type = Cmmm, No. 65
Raw total energy = -6.332 eV/atom
ΔE_f = 4.31 eV per formula unit

Entry 6:
VASP calculation (PBE) on Ag4SbAu4 after structural relaxation.

Cell: 4.3299 6.6119 6.6119 Å, 83.85 70.89 70.89°
Sites, in units of the cell vectors:
Ag (0.6699, 0.6602, 0.0001)
Ag (0.3301, 0.3398, 0.9999)
Ag (0.6700, 0.9999, 0.6602)
Ag (0.3300, 0.0001, 0.3398)
Sb (0.0000, 0.0000, 0.0000)
Au (0.6647, 0.3352, 0.3354)
Au (0.3353, 0.6648, 0.6646)
Au (0.0001, 0.6646, 0.3352)
Au (0.9999, 0.3354, 0.6648)

Properties
Space-group type = I4/mmm, No. 139
Raw total energy = -3.188 eV/atom
Formation energy from raw total energies = -0.006 eV per atom